[1]
{"formula": "Sb2RhWI", "functional": "PBE", "state": "relaxed", "density_g_cm3": 7.9, "dft_energy_ev_per_atom": -4.719, "spacegroup": "P4/mmm", "relative_energy_ev_per_atom": 0.041, "e_form_raw_ev_per_atom": 1.30, "lattice_angstrom": [[5.0691, 0.0000, 0.0000], [0.0000, 5.0691, 0.0000], [0.0000, 0.0000, 5.3767]], "species": ["Sb", "Sb", "Rh", "W", "I"], "fractional_positions": [[0.0000, 0.5000, 0.0000], [0.5000, 0.0000, 0.0000], [0.0000, 0.0000, 0.0000], [0.5000, 0.5000, 0.5000], [0.0000, 0.0000, 0.5000]]}

=====

[2]
{"formula": "SbRhWI2", "functional": "PBE", "state": "relaxed", "density_g_cm3": 7.5, "dft_energy_ev_per_atom": -4.137, "spacegroup": "P4/mmm", "relative_energy_ev_per_atom": 0.000, "e_form_raw_ev_per_atom": 1.37, "lattice_angstrom": [[5.3491, 0.0000, 0.0000], [0.0000, 5.3491, 0.0000], [0.0000, 0.0000, 5.1271]], "species": ["Sb", "Rh", "W", "I", "I"], "fractional_positions": [[0.0000, 0.0000, 0.0000], [0.0000, 0.0000, 0.5000], [0.5000, 0.5000, 0.0000], [0.0000, 0.5000, 0.5000], [0.5000, 0.0000, 0.5000]]}

=====

[3]
{"formula": "YSbRhI2", "functional": "PBE", "state": "relaxed", "density_g_cm3": 4.5, "dft_energy_ev_per_atom": -3.774, "spacegroup": "P4/mmm", "relative_energy_ev_per_atom": 0.480, "e_form_raw_ev_per_atom": 0.43, "lattice_angstrom": [[5.8419, 0.0000, 0.0000], [0.0000, 5.8419, 0.0000], [0.0000, 0.0000, 6.1326]], "species": ["Y", "Sb", "Rh", "I", "I"], "fractional_positions": [[0.0000, 0.0000, 0.0000], [0.0000, 0.0000, 0.5000], [0.5000, 0.5000, 0.5000], [0.0000, 0.5000, 0.0000], [0.5000, 0.0000, 0.0000]]}

=====

[4]
{"formula": "YSbRhI2", "functional": "PBE", "state": "relaxed", "density_g_cm3": 6.3, "dft_energy_ev_per_atom": -4.254, "spacegroup": "P4/mmm", "relative_energy_ev_per_atom": 0.000, "e_form_raw_ev_per_atom": -0.05, "lattice_angstrom": [[5.2698, 0.0000, 0.0000], [0.0000, 5.2698, 0.0000], [0.0000, 0.0000, 5.4025]], "species": ["Y", "Sb", "Rh", "I", "I"], "fractional_positions": [[0.0000, 0.0000, 0.0000], [0.5000, 0.5000, 0.0000], [0.5000, 0.5000, 0.5000], [0.0000, 0.5000, 0.5000], [0.5000, 0.0000, 0.5000]]}